This record from Alexandria describes a relaxed Tm8RuAu2 crystal. The functional is PBE-GGA.

Computed properties:
Polymorph energy (0 for the lowest one) in eV per atom: 0.000
Energy of formation in meV per atom: -457.7
DOS at the Fermi energy in states/eV/cell: 7.91
E_tot in eV per atom: -5.1488
Magnetization in μB per formula unit: 0.000

Structure (POSCAR):
```
Tm8RuAu2
1.0
8.5441 -2.5368 0.0000
8.5441 2.5368 0.0000
-2.1122 0.0000 6.4183
Tm Ru Au
8 1 2
direct
0.0283 0.0283 0.2946
0.1984 0.1984 0.8036
0.3385 0.3385 0.5359
0.4081 0.4081 0.0655
0.5919 0.5919 0.9345
0.6615 0.6615 0.4641
0.8016 0.8016 0.1964
0.9717 0.9717 0.7054
0.5000 0.5000 0.5000
0.1840 0.1840 0.2095
0.8160 0.8160 0.7905
```

This record from Alexandria describes a relaxed Er5MgIr4 crystal. The functional is PBE-GGA.

Computed properties:
Energy of formation in meV per atom: -738.0
DOS at the Fermi energy in states/eV/cell: 9.69
E_tot in eV per atom: -6.7233
Magnetization in μB per formula unit: 0.208

Structure (POSCAR):
```
Er5MgIr4
1.0
3.4399 0.0000 0.0000
0.0000 3.4399 0.0000
0.0000 0.0000 17.8094
Er Mg Ir
5 1 4
direct
0.0000 0.0000 0.0000
0.0000 0.0000 0.1882
0.0000 0.0000 0.3735
0.0000 0.0000 0.6265
0.0000 0.0000 0.8118
0.5000 0.5000 0.5000
0.5000 0.5000 0.0947
0.5000 0.5000 0.2862
0.5000 0.5000 0.7138
0.5000 0.5000 0.9053
```

This record from Alexandria describes a relaxed LiThPd3 crystal. The functional is PBE-GGA.

Computed properties:
Polymorph energy (0 for the lowest one) in eV per atom: 0.000
Energy of formation in meV per atom: -624.9
DOS at the Fermi energy in states/eV/cell: 4.83
E_tot in eV per atom: -5.6073
Magnetization in μB per formula unit: 0.000

Structure (POSCAR):
```
LiThPd3
1.0
4.3308 0.0000 0.0000
2.1296 5.0658 0.0000
0.1834 1.5758 8.5474
Li Th Pd
2 2 6
direct
0.0000 0.0000 0.0000
0.1890 0.6932 0.2714
0.5025 0.0695 0.4369
0.6865 0.6247 0.8347
0.0933 0.3457 0.1365
0.2258 0.6000 0.5893
0.3969 0.2181 0.8645
0.5946 0.8465 0.1358
0.7913 0.4766 0.4080
0.9626 0.0941 0.6828
```

This record from Alexandria describes a relaxed Li2CeH4 crystal. The functional is PBE-GGA.

Computed properties:
DOS at the Fermi energy in states/eV/cell: 5.64
E_tot in eV per atom: -3.6975
Magnetization in μB per formula unit: 0.989

Structure (POSCAR):
```
Li2CeH4
1.0
1.8587 1.0731 6.9322
-1.8587 1.0731 6.9322
0.0000 -2.1463 6.9322
Li Ce H
2 1 4
direct
0.2082 0.2082 0.2082
0.7918 0.7918 0.7918
0.0000 0.0000 0.0000
0.1168 0.1168 0.1168
0.2962 0.2962 0.2962
0.7038 0.7038 0.7038
0.8832 0.8832 0.8832
```

This record from Alexandria describes a relaxed Ho2TmZr crystal. The functional is PBE-GGA.

Computed properties:
Polymorph energy (0 for the lowest one) in eV per atom: 0.215
Energy of formation in meV per atom: 282.9
DOS at the Fermi energy in states/eV/cell: 16.80
E_tot in eV per atom: -5.2609
Magnetization in μB per formula unit: 0.000

Structure (POSCAR):
```
Ho2TmZr
1.0
3.3339 0.0000 0.0000
-1.6670 2.8873 0.0000
0.0000 0.0000 35.6035
Ho Tm Zr
6 3 3
direct
0.0000 0.0000 0.0872
0.0000 0.0000 0.9128
0.3333 0.6667 0.5795
0.3333 0.6667 0.7538
0.6667 0.3333 0.2462
0.6667 0.3333 0.4205
0.0000 0.0000 0.5000
0.3333 0.6667 0.1667
0.6667 0.3333 0.8333
0.0000 0.0000 0.0000
0.3333 0.6667 0.6667
0.6667 0.3333 0.3333
```

This record from Alexandria describes a relaxed TlIn4SnS8 crystal. The functional is PBE-GGA.

Computed properties:
E_form (uncorrected) in meV/atom: -419
DOS at the Fermi energy in states/eV/cell: 5.25
E_tot in eV per atom: -4.0147
Magnetization in μB per formula unit: 0.000

Structure (POSCAR):
```
TlIn4SnS8
1.0
3.9950 2.3065 6.5415
-3.9950 2.3065 6.5415
0.0000 -4.6131 6.5415
Tl In Sn S
1 4 1 8
direct
0.0000 0.0000 0.0000
0.1211 0.6239 0.6239
0.2405 0.2405 0.2405
0.6239 0.1211 0.6239
0.6239 0.6239 0.1211
0.6262 0.6262 0.6262
0.3719 0.3719 0.8491
0.3719 0.8491 0.3719
0.3802 0.3802 0.3802
0.4107 0.8700 0.8700
0.8491 0.3719 0.3719
0.8603 0.8603 0.8603
0.8700 0.4107 0.8700
0.8700 0.8700 0.4107
```

This record from Alexandria describes a relaxed NpNbAs2 crystal. The functional is PBE-GGA.

Computed properties:
Polymorph energy (0 for the lowest one) in eV per atom: 0.133
Energy of formation in meV per atom: -441.7
DOS at the Fermi energy in states/eV/cell: 6.35
E_tot in eV per atom: -8.5191
Magnetization in μB per formula unit: 4.254

Structure (POSCAR):
```
NpNbAs2
1.0
3.3012 0.0000 0.0000
0.0000 3.3012 0.0000
0.0000 0.0000 7.0042
Np Nb As
1 1 2
direct
0.0000 0.0000 0.0000
0.0000 0.0000 0.5000
0.5000 0.5000 0.2828
0.5000 0.5000 0.7172
```

This record from Alexandria describes a relaxed GePO crystal. The functional is PBE-GGA.

Computed properties:
E_form (uncorrected) in meV/atom: -218
DOS at the Fermi energy in states/eV/cell: 2.61
E_tot in eV per atom: -5.2133
Magnetization in μB per formula unit: 0.000

Structure (POSCAR):
```
GePO
1.0
6.5019 0.0000 0.0000
0.0000 3.7038 0.0000
-1.6255 0.0000 4.1018
Ge P O
2 2 2
direct
0.0000 0.0000 0.0000
0.5000 0.5000 0.0000
0.3946 0.0000 0.2480
0.8946 0.5000 0.2480
0.4361 0.5000 0.5622
0.9361 0.0000 0.5622
```

This record from Alexandria describes a relaxed LiCaAu3 crystal. The functional is PBE-GGA.

Computed properties:
Polymorph energy (0 for the lowest one) in eV per atom: 0.174
Energy of formation in meV per atom: -391.7
DOS at the Fermi energy in states/eV/cell: 1.42
E_tot in eV per atom: -3.1412
Magnetization in μB per formula unit: 0.000

Structure (POSCAR):
```
LiCaAu3
1.0
4.6971 0.0000 0.0000
0.0000 4.6971 0.0000
0.0000 0.0000 4.6971
Li Ca Au
1 1 3
direct
0.0000 0.0000 0.0000
0.5000 0.5000 0.5000
0.0000 0.0000 0.5000
0.0000 0.5000 0.0000
0.5000 0.0000 0.0000
```

This record from Alexandria describes a relaxed La2NdTm crystal. The functional is PBE-GGA.

Computed properties:
Polymorph energy (0 for the lowest one) in eV per atom: 0.090
Energy of formation in meV per atom: 102.8
DOS at the Fermi energy in states/eV/cell: 34.53
E_tot in eV per atom: -4.6707
Magnetization in μB per formula unit: 0.000

Structure (POSCAR):
```
La2NdTm
1.0
8.2631 0.0000 0.0000
0.0000 8.2631 0.0000
0.0000 0.0000 8.2631
La Nd Tm
8 4 4
direct
0.2500 0.2500 0.2500
0.2500 0.2500 0.7500
0.2500 0.7500 0.2500
0.2500 0.7500 0.7500
0.7500 0.2500 0.2500
0.7500 0.2500 0.7500
0.7500 0.7500 0.2500
0.7500 0.7500 0.7500
0.0000 0.0000 0.0000
0.0000 0.5000 0.5000
0.5000 0.0000 0.5000
0.5000 0.5000 0.0000
0.0000 0.0000 0.5000
0.0000 0.5000 0.0000
0.5000 0.0000 0.0000
0.5000 0.5000 0.5000
```

This record from Alexandria describes a relaxed CeHoCd crystal. The functional is PBE-GGA.

Computed properties:
Polymorph energy (0 for the lowest one) in eV per atom: 0.036
Energy of formation in meV per atom: -101.6
DOS at the Fermi energy in states/eV/cell: 13.10
E_tot in eV per atom: -3.9105
Magnetization in μB per formula unit: 1.047

Structure (POSCAR):
```
CeHoCd
1.0
3.4632 0.0000 0.0000
0.0000 3.4632 0.0000
0.0000 0.0000 14.0319
Ce Ho Cd
2 2 2
direct
0.0000 0.0000 0.0000
0.5000 0.5000 0.5000
0.0000 0.0000 0.3159
0.5000 0.5000 0.8159
0.0000 0.0000 0.6652
0.5000 0.5000 0.1652
```

This record from Alexandria describes a relaxed AcTiZn2 crystal. The functional is PBE-GGA.

Computed properties:
Polymorph energy (0 for the lowest one) in eV per atom: 0.267
Energy of formation in meV per atom: 214.0
DOS at the Fermi energy in states/eV/cell: 12.37
E_tot in eV per atom: -3.4238
Magnetization in μB per formula unit: 0.000

Structure (POSCAR):
```
AcTiZn2
1.0
3.5620 0.0000 0.0000
-1.7810 3.0848 0.0000
0.0000 0.0000 25.9549
Ac Ti Zn
3 3 6
direct
0.0000 0.0000 0.0000
0.3333 0.6667 0.6667
0.6667 0.3333 0.3333
0.0000 0.0000 0.5000
0.3333 0.6667 0.1667
0.6667 0.3333 0.8333
0.0000 0.0000 0.2336
0.0000 0.0000 0.7664
0.3333 0.6667 0.4331
0.3333 0.6667 0.9002
0.6667 0.3333 0.0998
0.6667 0.3333 0.5669
```